Entry 1:
Entry from Alexandria via LeMat-Bulk: Pr6P3Cl2 after structural relaxation (PBE-GGA).

ΔE_f (raw): -1.4584 eV/atom
VASP energy: -64.64 eV for the cell shown
calculated density: 5.46 g cm⁻³

abc: 7.2137 7.1959 7.2423
angles: 80.42 70.61 59.92
Element x y z (fractional)
Pr (0.4110, 0.6684, 0.7690)
Pr (0.7402, 0.0000, 0.7745)
Pr (0.2598, 0.0000, 0.2255)
Pr (0.9206, 0.6684, 0.2310)
Pr (0.5890, 0.3316, 0.2310)
Pr (0.0794, 0.3316, 0.7690)
P (0.6693, 0.6614, 0.0000)
P (0.0000, 0.0000, 0.0000)
P (0.3307, 0.3386, 0.0000)
Cl (0.1654, 0.6692, 0.5000)
Cl (0.8346, 0.3308, 0.5000)

***

Entry 2:
Entry from Alexandria via LeMat-Bulk: Pr4P2Cl3 after structural relaxation (PBE-GGA).

ΔE_f (raw): -1.7931 eV/atom
VASP energy: -51.62 eV for the cell shown
calculated density: 4.70 g cm⁻³

abc: 4.1544 4.1544 17.3191
angles: 90.06 89.94 120.00
Element x y z (fractional)
Pr (0.9992, 0.0008, 0.2975)
Pr (0.6664, 0.3336, 0.1159)
Pr (0.0008, 0.9992, 0.7025)
Pr (0.3336, 0.6664, 0.8841)
P (0.3328, 0.6672, 0.2043)
P (0.6672, 0.3328, 0.7957)
Cl (0.6655, 0.3345, 0.3952)
Cl (0.0000, 0.0000, 0.0000)
Cl (0.3345, 0.6655, 0.6048)

***

Entry 3:
Entry from Alexandria via LeMat-Bulk: Pr3PCl3 after structural relaxation (PBE-GGA).

ΔE_f (raw): -1.8141 eV/atom
VASP energy: -75.97 eV for the cell shown
calculated density: 4.60 g cm⁻³

abc: 4.1160 8.3939 11.6975
angles: 88.50 90.00 90.00
Element x y z (fractional)
Cl (0.7500, 0.6212, 0.1353)
Cl (0.2500, 0.8964, 0.8871)
Cl (0.7500, 0.1036, 0.1129)
Cl (0.2500, 0.3788, 0.8647)
Cl (0.7500, 0.6272, 0.6459)
Cl (0.2500, 0.3728, 0.3541)
Pr (0.2500, 0.3629, 0.6146)
Pr (0.2500, 0.8565, 0.1492)
Pr (0.7500, 0.6371, 0.3854)
Pr (0.7500, 0.1030, 0.3769)
Pr (0.7500, 0.1435, 0.8508)
Pr (0.2500, 0.8970, 0.6231)
P (0.2500, 0.8689, 0.3841)
P (0.7500, 0.1311, 0.6159)

***

Entry 4:
Entry from Alexandria via LeMat-Bulk: Pr6PCl8 after structural relaxation (PBE-GGA).

ΔE_f (raw): -1.8344 eV/atom
VASP energy: -76.38 eV for the cell shown
calculated density: 4.21 g cm⁻³

abc: 7.2251 7.2251 10.9391
angles: 70.72 70.72 60.00
Element x y z (fractional)
Cl (0.4458, 0.1069, 0.6790)
Cl (0.2318, 0.5542, 0.3210)
Cl (0.6667, 0.6667, 0.0000)
Cl (0.7682, 0.4458, 0.6790)
Cl (0.1069, 0.7682, 0.6790)
Cl (0.8931, 0.2318, 0.3210)
Cl (0.5542, 0.8931, 0.3210)
Cl (0.3333, 0.3333, 0.0000)
Pr (0.0526, 0.3609, 0.8423)
Pr (0.7442, 0.0526, 0.8423)
Pr (0.2558, 0.9474, 0.1577)
Pr (0.3609, 0.7442, 0.8423)
Pr (0.6391, 0.2558, 0.1577)
Pr (0.9474, 0.6391, 0.1577)
P (0.0000, 0.0000, 0.0000)

***

Repeat the fourth record exactly.
Entry from Alexandria via LeMat-Bulk: Pr6PCl8 after structural relaxation (PBE-GGA).

ΔE_f (raw): -1.8344 eV/atom
VASP energy: -76.38 eV for the cell shown
calculated density: 4.21 g cm⁻³

abc: 7.2251 7.2251 10.9391
angles: 70.72 70.72 60.00
Element x y z (fractional)
Cl (0.4458, 0.1069, 0.6790)
Cl (0.2318, 0.5542, 0.3210)
Cl (0.6667, 0.6667, 0.0000)
Cl (0.7682, 0.4458, 0.6790)
Cl (0.1069, 0.7682, 0.6790)
Cl (0.8931, 0.2318, 0.3210)
Cl (0.5542, 0.8931, 0.3210)
Cl (0.3333, 0.3333, 0.0000)
Pr (0.0526, 0.3609, 0.8423)
Pr (0.7442, 0.0526, 0.8423)
Pr (0.2558, 0.9474, 0.1577)
Pr (0.3609, 0.7442, 0.8423)
Pr (0.6391, 0.2558, 0.1577)
Pr (0.9474, 0.6391, 0.1577)
P (0.0000, 0.0000, 0.0000)

***

Which of these has the lowest calculated density? Pr6PCl8

***

The lowest ΔE_f (raw) belongs to which entry? Pr6PCl8

***

What is the calculated density in the third record? 4.60 g cm⁻³